No. 1
Density functional theory data (GGA-PBE) for crystalline UPaRu4 at its relaxed geometry.

Cell and atoms, written as POSCAR:
```
UPaRu4
1.0
4.323 -1.860 0.000
4.323 1.860 0.000
-3.167 0.000 6.745
U Pa Ru
1 1 4
Cartesian
0.000 0.000 0.000
-1.584 0.000 3.372
2.145 0.000 1.035
0.665 0.000 4.434
4.814 0.000 2.311
3.333 0.000 5.710
```

Summary:
Energy above the lowest structure with this stoichiometry ... 1.9 kJ/mol of atoms

---

No. 2
Density functional theory data (GGA-PBE) for crystalline U2PaRu at its relaxed geometry.

Cell and atoms, written as POSCAR:
```
U2PaRu
1.0
1.639 0.947 9.226
-1.639 0.947 9.226
0.000 -1.893 9.226
U Pa Ru
2 1 1
Cartesian
0.000 0.000 6.668
0.000 0.000 21.011
0.000 0.000 0.000
0.000 0.000 13.839
```

Summary:
Energy ... -10.14 eV per atom

---

No. 3
Density functional theory data (GGA-PBE) for crystalline U2Pa8Ru at its relaxed geometry.

Cell and atoms, written as POSCAR:
```
U2Pa8Ru
1.0
8.074 -2.660 0.000
8.074 2.660 0.000
-2.651 0.000 6.019
U Pa Ru
2 8 1
Cartesian
2.240 0.000 1.074
11.256 0.000 4.945
-0.371 0.000 1.606
1.112 0.000 4.773
3.946 0.000 3.209
6.408 0.000 0.397
7.088 0.000 5.623
9.551 0.000 2.811
12.384 0.000 1.246
13.868 0.000 4.413
6.748 0.000 3.010
```

Summary:
Energy ... -9.77 eV per atom

---

No. 4
Density functional theory data (GGA-PBE) for crystalline UPaRu4 at its relaxed geometry.

Cell and atoms, written as POSCAR:
```
UPaRu4
1.0
0.000 3.747 3.747
3.747 0.000 3.747
3.747 3.747 0.000
U Pa Ru
1 1 4
Cartesian
0.000 0.000 0.000
1.874 1.874 1.874
4.686 2.809 2.809
2.809 4.686 2.809
2.809 2.809 4.686
4.686 4.686 4.686
```

Summary:
Energy above the lowest structure with this stoichiometry ... 0.0 kJ/mol of atoms

---

No. 5
Density functional theory data (GGA-PBE) for crystalline UPaVRu at its relaxed geometry.

Cell and atoms, written as POSCAR:
```
UPaVRu
1.0
0.000 3.301 3.301
3.301 0.000 3.301
3.301 3.301 0.000
U Pa V Ru
1 1 1 1
Cartesian
0.000 0.000 0.000
1.650 1.650 1.650
4.951 4.951 4.951
3.301 3.301 3.301
```

Summary:
Energy ... -9.79 eV per atom

---

No. 6
Density functional theory data (GGA-PBE) for crystalline PaVZnRu at its relaxed geometry.

Cell and atoms, written as POSCAR:
```
PaVZnRu
1.0
0.000 3.237 3.237
3.237 0.000 3.237
3.237 3.237 0.000
Pa V Zn Ru
1 1 1 1
Cartesian
0.000 0.000 0.000
1.619 1.619 1.619
3.237 3.237 3.237
4.856 4.856 4.856
```

Summary:
Energy ... -7.41 eV per atom

---

No. 7
Density functional theory data (GGA-PBE) for crystalline ZrPaVRu at its relaxed geometry.

Cell and atoms, written as POSCAR:
```
ZrPaVRu
1.0
0.000 3.347 3.347
3.347 0.000 3.347
3.347 3.347 0.000
Zr Pa V Ru
1 1 1 1
Cartesian
0.000 0.000 0.000
3.347 3.347 3.347
5.021 5.021 5.021
1.674 1.674 1.674
```

Summary:
Energy ... -9.25 eV per atom

---

No. 8
Density functional theory data (GGA-PBE) for crystalline PaRuW at its relaxed geometry.

Cell and atoms, written as POSCAR:
```
PaRuW
1.0
0.000 4.499 9.967
2.532 0.000 9.967
2.532 4.499 0.000
Pa Ru W
4 4 4
Cartesian
1.899 0.406 7.476
3.165 2.655 12.459
1.899 6.343 7.476
3.165 8.592 12.459
1.899 3.374 6.116
1.899 3.374 8.835
3.165 5.624 11.100
3.165 5.624 13.819
1.899 3.374 0.015
3.165 5.624 4.999
1.899 3.374 14.936
3.165 5.624 19.920
```

Summary:
Energy ... -10.23 eV per atom

---

No. 9
Density functional theory data (GGA-PBE) for crystalline Y3PaRu8 at its relaxed geometry.

Cell and atoms, written as POSCAR:
```
Y3PaRu8
1.0
2.669 1.541 8.727
-2.669 1.541 8.727
0.000 -3.082 8.727
Y Pa Ru
3 1 8
Cartesian
0.000 0.000 0.000
0.000 0.000 3.243
0.000 0.000 16.389
0.000 0.000 13.066
-1.338 -0.772 10.378
0.000 -1.531 5.990
-1.326 0.765 5.990
0.000 0.000 8.200
1.326 0.765 5.990
1.338 -0.772 10.378
0.000 1.544 10.378
0.000 0.000 21.286
```

Summary:
Energy ... -8.89 eV per atom

---

No. 10
Density functional theory data (GGA-PBE) for crystalline Y3Pa2Ru4 at its relaxed geometry.

Cell and atoms, written as POSCAR:
```
Y3Pa2Ru4
1.0
4.194 -5.357 0.000
4.194 5.357 0.000
-0.219 0.000 9.194
Y Pa Ru
6 4 8
Cartesian
1.586 1.596 5.916
4.030 4.128 6.895
1.695 -1.596 1.319
6.474 1.596 7.874
4.139 -4.128 2.298
6.584 -1.596 3.278
3.304 1.515 0.369
4.975 1.515 4.228
3.195 -1.515 4.966
4.865 -1.515 8.825
0.811 1.045 8.751
0.921 -1.045 4.154
2.955 0.725 3.152
2.845 -0.725 7.749
5.324 0.725 1.444
5.215 -0.725 6.041
7.249 1.045 5.040
7.358 -1.045 0.443
```

Summary:
Energy ... -8.88 eV per atom

---

No. 11
Density functional theory data (GGA-PBE) for crystalline Y2Pa4Ru9 at its relaxed geometry.

Cell and atoms, written as POSCAR:
```
Y2Pa4Ru9
1.0
4.483 0.000 0.000
-2.242 3.883 0.000
0.000 0.000 17.132
Y Pa Ru
2 4 9
Cartesian
0.000 2.588 4.363
2.242 1.294 12.769
0.000 2.588 10.310
0.000 2.588 15.429
2.242 1.294 1.704
2.242 1.294 6.822
0.000 0.000 0.000
0.000 0.000 2.771
0.000 0.000 5.920
0.000 0.000 11.212
0.000 0.000 14.362
0.000 2.588 1.382
0.000 2.588 7.375
2.242 1.294 9.757
2.242 1.294 15.750
```

Summary:
Energy ... -9.31 eV per atom

---

No. 12
Density functional theory data (GGA-PBE) for crystalline YPaRu at its relaxed geometry.

Cell and atoms, written as POSCAR:
```
YPaRu
1.0
5.533 0.000 0.000
0.000 8.497 0.000
-3.109 0.000 6.581
Y Pa Ru
4 4 4
Cartesian
-0.199 1.069 3.002
-1.753 3.180 6.293
4.177 5.317 0.289
2.623 7.429 3.580
-0.225 5.215 3.510
1.329 7.531 0.220
1.095 0.966 6.362
2.650 3.282 3.071
1.638 5.364 1.744
0.083 7.382 5.035
2.341 1.115 1.547
0.787 3.133 4.838
```

Summary:
Energy above the lowest structure with this stoichiometry ... 14.5 kJ/mol of atoms

---

No. 13
Density functional theory data (GGA-PBE) for crystalline YPaRu at its relaxed geometry.

Cell and atoms, written as POSCAR:
```
YPaRu
1.0
7.013 0.000 0.000
0.000 6.053 0.000
-2.047 0.000 6.842
Y Pa Ru
4 4 4
Cartesian
0.301 0.850 2.489
-0.722 2.177 5.910
5.688 3.876 0.932
4.664 5.203 4.353
2.256 3.977 2.076
1.233 5.102 5.497
3.733 0.951 1.345
2.710 2.076 4.766
0.204 3.796 3.531
1.228 5.284 0.110
3.738 0.769 6.732
4.762 2.257 3.311
```

Summary:
Energy above the lowest structure with this stoichiometry ... 0.0 kJ/mol of atoms

---

No. 14
Density functional theory data (GGA-PBE) for crystalline YPa3Ru2 at its relaxed geometry.

Cell and atoms, written as POSCAR:
```
YPa3Ru2
1.0
7.914 -2.292 0.000
7.914 2.292 0.000
-3.840 0.000 7.392
Y Pa Ru
2 6 4
Cartesian
1.646 0.000 0.259
10.342 0.000 7.133
-0.613 0.000 3.056
2.161 0.000 4.696
4.729 0.000 2.278
7.259 0.000 5.114
9.827 0.000 2.696
12.600 0.000 4.336
0.405 0.000 6.444
4.534 0.000 5.895
7.454 0.000 1.497
11.583 0.000 0.948
```

Summary:
Energy ... -9.25 eV per atom

---

No. 15
Density functional theory data (GGA-PBE) for crystalline YPaRu at its relaxed geometry.

Cell and atoms, written as POSCAR:
```
YPaRu
1.0
0.000 3.367 3.367
3.367 0.000 3.367
3.367 3.367 0.000
Y Pa Ru
1 1 1
Cartesian
0.000 0.000 0.000
3.367 3.367 3.367
1.683 1.683 1.683
```

Summary:
Energy above the lowest structure with this stoichiometry ... 34.3 kJ/mol of atoms

---

No. 16
Density functional theory data (GGA-PBE) for crystalline Y3PaRu4 at its relaxed geometry.

Cell and atoms, written as POSCAR:
```
Y3PaRu4
1.0
7.151 -2.418 0.000
7.151 2.418 0.000
-1.400 0.000 4.638
Y Pa Ru
3 1 4
Cartesian
0.000 0.000 0.000
3.205 0.000 1.135
9.696 0.000 3.503
6.450 0.000 2.319
0.806 0.000 2.845
4.305 0.000 3.964
8.596 0.000 0.674
12.094 0.000 1.793
```

Summary:
Energy ... -8.70 eV per atom

---

No. 17
Density functional theory data (GGA-PBE) for crystalline YPa2Ru2 at its relaxed geometry.

Cell and atoms, written as POSCAR:
```
YPa2Ru2
1.0
3.688 0.000 0.000
-1.843 7.722 0.000
-1.824 -0.666 8.022
Y Pa Ru
2 4 4
Cartesian
-0.914 3.296 2.592
0.934 3.760 5.430
-0.905 0.721 5.461
0.924 0.983 0.822
-0.903 6.073 7.199
0.926 6.335 2.561
-0.929 5.405 0.531
-0.910 6.078 4.625
0.931 0.978 3.396
0.949 1.651 7.490
```

Summary:
Energy ... -9.12 eV per atom

---

No. 18
Density functional theory data (GGA-PBE) for crystalline Y5Pa2Ru5 at its relaxed geometry.

Cell and atoms, written as POSCAR:
```
Y5Pa2Ru5
1.0
4.328 -2.500 0.000
4.328 2.500 0.000
-2.859 0.000 12.351
Y Pa Ru
5 2 5
Cartesian
0.000 0.000 0.000
0.012 0.000 7.050
0.016 0.000 10.470
5.780 0.000 1.881
5.784 0.000 5.301
2.899 0.000 3.423
2.897 0.000 8.928
0.024 0.000 4.204
2.896 0.000 0.984
2.898 0.000 6.175
2.900 0.000 11.367
5.772 0.000 8.147
```

Summary:
Energy ... -8.45 eV per atom

---

No. 19
Density functional theory data (GGA-PBE) for crystalline YPa2Ru3 at its relaxed geometry.

Cell and atoms, written as POSCAR:
```
YPa2Ru3
1.0
-2.301 3.452 7.628
2.301 -3.452 7.628
2.301 3.452 -7.628
Y Pa Ru
2 4 6
Cartesian
0.000 1.726 2.650
2.301 1.726 4.978
2.301 -1.726 4.849
2.301 1.726 0.093
0.000 1.726 7.536
0.000 5.179 2.779
0.000 0.000 0.000
2.301 -0.175 2.136
2.301 3.278 -2.136
0.000 3.452 0.000
0.000 0.175 9.764
0.000 3.627 5.492
```

Summary:
Energy ... -9.34 eV per atom

---

No. 20
Density functional theory data (GGA-PBE) for crystalline YPaRu2 at its relaxed geometry.

Cell and atoms, written as POSCAR:
```
YPaRu2
1.0
0.000 3.424 3.424
3.424 0.000 3.424
3.424 3.424 0.000
Y Pa Ru
1 1 2
Cartesian
0.000 0.000 0.000
3.424 3.424 3.424
1.712 1.712 1.712
5.137 5.137 5.137
```

Summary:
Energy ... -9.01 eV per atom